In2BiH: single point on PBEsol structure, SCAN.

Output
Calculated volume (Å³/atom): 23.054
Total magnetic moment (μB per cell): 0.0
E_tot (eV/atom): -36.788
Crystal system: cubic

Lattice parameters (Å, degrees): 5.071 5.071 5.071 60.00 60.00 60.00
Sites, in units of the cell vectors:
H: 0.000 0.000 0.000
Bi: 0.500 0.500 0.500
In: 0.250 0.250 0.250
In: 0.750 0.750 0.750

---

Ba2CuWO6: single point on PBEsol structure, SCAN.

Output
Calculated volume (Å³/atom): 13.366
Total magnetic moment (μB per cell): 1.0
E_tot (eV/atom): -22.605
Crystal system: tetragonal

Lattice parameters (Å, degrees): 5.528 5.866 5.528 61.89 90.00 118.11
Last column: magnetic moment on the atom in μB.
Sites, in units of the cell vectors:
Ba: 0.750 0.500 0.750  0.00
Ba: 0.250 0.500 0.250  0.00
Cu: 0.000 0.000 0.000  0.73
W: 0.500 0.000 0.500  0.04
O: 0.747 0.000 0.748  0.06
O: 0.748 0.000 0.253  0.06
O: 0.252 0.000 0.747  0.06
O: 0.253 0.000 0.252  0.06
O: 0.280 0.561 0.720  0.00
O: 0.720 0.439 0.280  0.00

---

Question: What is the E_tot in the second record?
Answer: -22.605 eV/atom